Entry 1:
{"formula": "LiCuF4", "functional": "PBE", "state": "optimized geometry", "lattice": [[5.004, 0.000, 0.000], [0.000, 7.189, -0.004], [0.000, 1.421, 7.206]], "species": ["Li", "Li", "Li", "Li", "Cu", "Cu", "Cu", "Cu", "F", "F", "F", "F", "F", "F", "F", "F", "F", "F", "F", "F", "F", "F", "F", "F"], "fractional_positions": [[0.747, 0.844, 0.849], [0.753, 0.344, 0.849], [0.247, 0.656, 0.151], [0.253, 0.156, 0.151], [0.243, 0.690, 0.677], [0.257, 0.190, 0.677], [0.743, 0.810, 0.323], [0.757, 0.310, 0.323], [0.417, 0.694, 0.905], [0.083, 0.194, 0.905], [0.931, 0.597, 0.805], [0.091, 0.941, 0.683], [0.569, 0.097, 0.805], [0.409, 0.441, 0.683], [0.572, 0.809, 0.561], [0.928, 0.309, 0.561], [0.072, 0.691, 0.439], [0.428, 0.191, 0.439], [0.591, 0.559, 0.317], [0.431, 0.903, 0.195], [0.909, 0.059, 0.317], [0.069, 0.403, 0.195], [0.917, 0.806, 0.095], [0.583, 0.306, 0.095]], "dos_ef_per_ev_atom": 0.321, "energy_ev_per_atom": -4.138, "formation_energy_uncorrected_kj_per_mol_atoms": -182.2}

---

Entry 2:
{"formula": "CrReRu", "functional": "PBE", "state": "optimized geometry", "lattice": [[6.603, -0.007, 0.005], [5.890, 2.554, 0.028], [0.713, -0.755, 2.447]], "species": ["Cr", "Re", "Ru"], "fractional_positions": [[0.001, 0.001, 0.999], [0.339, 0.339, 0.661], [0.660, 0.660, 0.340]], "dos_ef_per_ev_atom": 1.282, "energy_ev_per_atom": -10.170, "de_polymorph_mev_per_atom": 158.8}

---

Entry 3:
{"formula": "La2GaSb", "functional": "PBE", "state": "optimized geometry", "lattice": [[0.000, 3.934, 3.934], [3.934, 0.000, 3.934], [3.934, 3.934, 0.000]], "species": ["Sb", "Ga", "La", "La"], "fractional_positions": [[0.500, 0.500, 0.500], [0.000, 0.000, 0.000], [0.250, 0.250, 0.250], [0.750, 0.750, 0.750]], "dos_ef_per_ev_atom": 1.917, "energy_ev_per_atom": -4.937, "formation_energy_uncorrected_kj_per_mol_atoms": -66.1, "de_polymorph_mev_per_atom": 203.3}

---

Entry 4:
{"formula": "Fe2ReMo", "functional": "PBE", "state": "optimized geometry", "lattice": [[3.065, 0.000, 0.000], [0.000, 3.065, 0.000], [0.000, 0.000, 5.814]], "species": ["Re", "Mo", "Fe", "Fe"], "fractional_positions": [[0.500, 0.500, 0.757], [0.000, 0.000, 0.494], [0.000, 0.000, 0.014], [0.500, 0.500, 0.235]], "dos_ef_per_ev_atom": 0.730, "energy_ev_per_atom": -9.970}